No. 1
Density functional theory data (GGA-PBE) for Rb2ScAuBr6 after structural relaxation.

Formation energy (no corrections): -135.5 kJ/mol of atoms
Volume: 378 Å³/cell
Offset from the most stable computed form: 0 meV/atom

a = 7.9849 Å, b = 7.9884 Å, c = 8.0534 Å
α = 91.54°, β = 117.22°, γ = 119.09°
With the nearest neighbours (Å) after each atom.
Space group P1 (No. 1)
Asymmetric unit:
Rb (0.0000, 0.0000, 0.0000) (multiplicity 1)  6 Br 3.49-3.77, 1 Au 3.84
Rb (0.0414, 0.4782, 0.5452) (multiplicity 1)  6 Br 3.47-3.74, 1 Au 3.66
Sc (0.4735, 0.7281, 0.2401) (multiplicity 1)  4 Br 2.55-2.63
Au (0.4748, 0.0233, 0.7760) (multiplicity 1)  2 Br 2.42-2.43
Br (0.0413, 0.5627, 0.9700) (multiplicity 1)  1 Sc 2.63
Br (0.3627, 0.9389, 0.4348) (multiplicity 1)  1 Au 2.42
Br (0.4004, 0.4574, 0.4095) (multiplicity 1)  1 Sc 2.56
Br (0.5468, 0.5921, 0.0085) (multiplicity 1)  1 Sc 2.55
Br (0.5522, 0.0861, 0.1077) (multiplicity 1)  1 Au 2.43
Br (0.9005, 0.9818, 0.5279) (multiplicity 1)  1 Sc 2.63

---

No. 2
Density functional theory data (GGA-PBE) for PuNiAg after structural relaxation.

Formation energy: 0.0204 eV per atom
Volume: 880 Å³/cell
Offset from the most stable computed form: 0 meV/atom

a = 5.2815 Å, b = 9.0066 Å, c = 18.5022 Å
α = 90.00°, β = 90.00°, γ = 90.00°
With the nearest neighbours (Å) after each atom.
Space group Fddd (No. 70, origin choice 2)
Asymmetric unit:
Pu (0.1250, 0.2959, 0.1250) (multiplicity 16)  4 Ni 2.77, 3 Pu 3.00-3.08
Ni (0.1250, 0.1250, 0.0006) (multiplicity 16)  2 Ni 2.61, 4 Ag 2.74-2.76, 4 Pu 2.77
Ag (0.1250, 0.1250, 0.5445) (multiplicity 16)  4 Ni 2.74-2.76, 1 Ag 2.98